(w)
## Ca2LaAg (PBE-GGA)

Data for a relaxed structure of Ca2LaAg.

Values from the calculation:
* crystal system: orthorhombic
* spin magnetization: 0.00 Bohr magnetons per cell

Cell: 3.686 3.706 9.494 Å, 90.00 90.00 90.00°
Space group Pmmm (No. 47)
One atom of each set of equivalent atoms:
Ca  0.000  0.000  0.195
La  0.500  0.500  0.500
Ag  0.500  0.500  0.000

(x)
## Ca2LaAg (PBE-GGA)

Data for a relaxed structure of Ca2LaAg.

Values from the calculation:
* crystal system: orthorhombic
* spin magnetization: 0.00 Bohr magnetons per cell

Cell: 3.871 5.809 11.809 Å, 90.00 90.00 90.00°
Space group Imm2 (No. 44)
One atom of each set of equivalent atoms:
Ca  0.000  0.000  0.000
Ca  0.000  0.500  0.208
La  0.000  0.500  0.796
Ag  0.000  0.000  0.504

(y)
## Ca2LaAg (PBE-GGA)

Data for a relaxed structure of Ca2LaAg.

Values from the calculation:
* crystal system: trigonal
* spin magnetization: 0.01 Bohr magnetons per cell

Cell: 3.8601 3.8601 32.7455 Å, 90.00 90.00 120.00°
Space group R3m (No. 160, hexagonal axes)
One atom of each set of equivalent atoms:
Ca  0.0000  0.0000  0.0000
Ca  0.0000  0.0000  0.2332
La  0.0000  0.0000  0.7640
Ag  0.0000  0.0000  0.5004

(z)
## Ca2LaAg (PBE-GGA)

Data for a relaxed structure of Ca2LaAg.

Values from the calculation:
* crystal system: trigonal
* spin magnetization: 0.00 Bohr magnetons per cell

Cell: 3.8327 3.8327 32.2422 Å, 90.00 90.00 120.00°
Space group R3m (No. 160, hexagonal axes)
One atom of each set of equivalent atoms:
Ca  0.0000  0.0000  0.0000
Ca  0.0000  0.0000  0.1986
La  0.0000  0.0000  0.4332
Ag  0.0000  0.0000  0.5992

Q: Which of them is the most stable? A: (w).

(w)
## CaLa2AgRu (PBE-GGA)

Data for a relaxed structure of CaLa2AgRu.

Values from the calculation:
* crystal system: tetragonal
* spin magnetization: 0.00 Bohr magnetons per cell

Cell: 5.337 5.337 5.698 Å, 90.00 90.00 90.00°
Space group P4/mmm (No. 123)
One atom of each set of equivalent atoms:
Ca  0.000  0.000  0.000
La  0.000  0.500  0.500
Ag  0.500  0.500  0.000
Ru  0.000  0.000  0.500

(x)
## CaLa2AgRu (PBE-GGA)

Data for a relaxed structure of CaLa2AgRu.

Values from the calculation:
* crystal system: tetragonal
* spin magnetization: 0.00 Bohr magnetons per cell

Cell: 5.296 5.296 5.627 Å, 90.00 90.00 90.00°
Space group P4/mmm (No. 123)
One atom of each set of equivalent atoms:
Ca  0.000  0.000  0.000
La  0.000  0.500  0.500
Ag  0.500  0.500  0.000
Ru  0.500  0.500  0.500

Q: Which of them is the most stable? A: (w).

(w)
## Li3CaAg (PBE-GGA)

Data for a relaxed structure of Li3CaAg.

Values from the calculation:
* crystal system: monoclinic
* spin magnetization: 0.00 Bohr magnetons per cell

Cell: 7.234 4.356 7.637 Å, 90.00 104.81 90.00°
Space group P2_1/m (No. 11)
One atom of each set of equivalent atoms:
Li  0.094  0.250  0.136
Li  0.336  0.750  0.394
Li  0.354  0.750  0.026
Ca  0.194  0.250  0.677
Ag  0.478  0.250  0.250

(x)
## Li3CaAg (PBE-GGA)

Data for a relaxed structure of Li3CaAg.

Values from the calculation:
* crystal system: cubic
* spin magnetization: 0.00 Bohr magnetons per cell

Cell: 4.997 4.997 4.997 Å, 90.00 90.00 90.00°
Space group Pm-3m (No. 221)
One atom of each set of equivalent atoms:
Li  0.000  0.000  0.500
Ca  0.500  0.500  0.500
Ag  0.000  0.000  0.000

Q: Which of them is the most stable? A: (w).

(w)
## LiCa2Ag2 (PBE-GGA)

Data for a relaxed structure of LiCa2Ag2.

Values from the calculation:
* crystal system: tetragonal
* spin magnetization: 0.00 Bohr magnetons per cell

Cell: 7.876 7.876 4.226 Å, 90.00 90.00 90.00°
Space group P4/mbm (No. 127)
One atom of each set of equivalent atoms:
Li  0.000  0.000  0.000
Ca  0.170  0.330  0.500
Ag  0.129  0.629  0.000

(x)
## LiCa2Ag2 (PBE-GGA)

Data for a relaxed structure of LiCa2Ag2.

Values from the calculation:
* crystal system: monoclinic
* spin magnetization: 0.00 Bohr magnetons per cell

Cell: 10.693 6.000 8.108 Å, 90.00 103.68 90.00°
Space group C2/c (No. 15)
One atom of each set of equivalent atoms:
Li  0.000  0.136  0.250
Ca  0.149  0.365  0.648
Ag  0.131  0.134  0.002

(y)
## LiCa2Ag2 (PBE-GGA)

Data for a relaxed structure of LiCa2Ag2.

Values from the calculation:
* crystal system: tetragonal
* spin magnetization: 0.00 Bohr magnetons per cell

Cell: 3.946 3.946 17.700 Å, 90.00 90.00 90.00°
Space group I4/mmm (No. 139)
One atom of each set of equivalent atoms:
Li  0.000  0.000  0.000
Ca  0.000  0.000  0.390
Ag  0.000  0.500  0.250

(z)
## LiCa2Ag2 (PBE-GGA)

Data for a relaxed structure of LiCa2Ag2.

Values from the calculation:
* crystal system: tetragonal
* spin magnetization: 0.00 Bohr magnetons per cell

Cell: 5.888 5.888 8.210 Å, 90.00 90.00 90.00°
Space group I4/mmm (No. 139)
One atom of each set of equivalent atoms:
Li  0.000  0.000  0.000
Ca  0.000  0.500  0.250
Ag  0.000  0.000  0.337

Q: Which of them is the most stable? A: (x).

(w)
## LiCa2Ag (PBE-GGA)

Data for a relaxed structure of LiCa2Ag.

Values from the calculation:
* crystal system: monoclinic
* spin magnetization: 0.00 Bohr magnetons per cell

Cell: 12.484 3.739 5.266 Å, 90.00 113.94 90.00°
Space group Cm (No. 8)
One atom of each set of equivalent atoms:
Li  0.000  0.000  0.000
Ca  0.087  0.500  0.587
Ca  0.297  0.500  0.292
Ag  0.323  0.000  0.815

(x)
## LiCa2Ag (PBE-GGA)

Data for a relaxed structure of LiCa2Ag.

Values from the calculation:
* crystal system: tetragonal
* spin magnetization: 0.00 Bohr magnetons per cell

Cell: 4.565 4.565 10.555 Å, 90.00 90.00 90.00°
Space group I-4m2 (No. 119)
One atom of each set of equivalent atoms:
Li  0.000  0.000  0.000
Ca  0.000  0.000  0.500
Ca  0.000  0.500  0.250
Ag  0.000  0.500  0.750

Q: Which of them is the most stable? A: (w).

(w)
## LiCa2Ag (PBE-GGA)

Data for a relaxed structure of LiCa2Ag.

Values from the calculation:
* crystal system: trigonal
* spin magnetization: 0.00 Bohr magnetons per cell

Cell: 4.3499 4.3499 22.3715 Å, 90.00 90.00 120.00°
Space group R3m (No. 160, hexagonal axes)
One atom of each set of equivalent atoms:
Li  0.0000  0.0000  0.0000
Ca  0.0000  0.0000  0.2374
Ca  0.0000  0.0000  0.4288
Ag  0.0000  0.0000  0.6658

(x)
## LiCa2Ag (PBE-GGA)

Data for a relaxed structure of LiCa2Ag.

Values from the calculation:
* crystal system: tetragonal
* spin magnetization: 0.00 Bohr magnetons per cell

Cell: 3.715 3.715 8.080 Å, 90.00 90.00 90.00°
Space group P4mm (No. 99)
One atom of each set of equivalent atoms:
Li  0.000  0.000  0.000
Ca  0.000  0.000  0.376
Ca  0.500  0.500  0.738
Ag  0.500  0.500  0.140

Q: Which of them is the most stable? A: (x).

(w)
## LiCa2Ag (PBE-GGA)

Data for a relaxed structure of LiCa2Ag.

Values from the calculation:
* crystal system: trigonal
* spin magnetization: 0.00 Bohr magnetons per cell

Cell: 4.1166 4.1166 26.4660 Å, 90.00 90.00 120.00°
Space group R3m (No. 160, hexagonal axes)
One atom of each set of equivalent atoms:
Li  0.0000  0.0000  0.0000
Ca  0.0000  0.0000  0.5694
Ca  0.0000  0.0000  0.7614
Ag  0.0000  0.0000  0.1649

(x)
## LiCa2Ag (PBE-GGA)

Data for a relaxed structure of LiCa2Ag.

Values from the calculation:
* crystal system: cubic
* spin magnetization: 0.00 Bohr magnetons per cell

Cell: 7.502 7.502 7.502 Å, 90.00 90.00 90.00°
Space group F-43m (No. 216)
One atom of each set of equivalent atoms:
Li  0.000  0.000  0.000
Ca  0.000  0.000  0.500
Ca  0.250  0.250  0.250
Ag  0.250  0.250  0.750

(y)
## LiCa2Ag (PBE-GGA)

Data for a relaxed structure of LiCa2Ag.

Values from the calculation:
* crystal system: cubic
* spin magnetization: 0.00 Bohr magnetons per cell

Cell: 7.577 7.577 7.577 Å, 90.00 90.00 90.00°
Space group Fm-3m (No. 225)
One atom of each set of equivalent atoms:
Li  0.000  0.000  0.000
Ca  0.250  0.250  0.250
Ag  0.000  0.000  0.500

(z)
## LiCa2Ag (PBE-GGA)

Data for a relaxed structure of LiCa2Ag.

Values from the calculation:
* crystal system: trigonal
* spin magnetization: 0.00 Bohr magnetons per cell

Cell: 4.0903 4.0903 26.9728 Å, 90.00 90.00 120.00°
Space group R-3m (No. 166, hexagonal axes)
One atom of each set of equivalent atoms:
Li  0.0000  0.0000  0.0000
Ca  0.0000  0.0000  0.2367
Ag  0.0000  0.0000  0.5000

Q: Which of them is the most stable? A: (y).

(w)
## LiCa2Ag (PBE-GGA)

Data for a relaxed structure of LiCa2Ag.

Values from the calculation:
* crystal system: monoclinic
* spin magnetization: 0.00 Bohr magnetons per cell

Cell: 4.352 4.475 6.255 Å, 90.00 110.18 90.00°
Space group Pm (No. 6)
One atom of each set of equivalent atoms:
Li  0.000  0.000  0.000
Ca  0.416  0.500  0.830
Ca  0.706  0.000  0.412
Ag  0.131  0.500  0.261

(x)
## LiCa2Ag (PBE-GGA)

Data for a relaxed structure of LiCa2Ag.

Values from the calculation:
* crystal system: tetragonal
* spin magnetization: 0.00 Bohr magnetons per cell

Cell: 5.301 5.301 3.902 Å, 90.00 90.00 90.00°
Space group P4/mmm (No. 123)
One atom of each set of equivalent atoms:
Li  0.000  0.000  0.000
Ca  0.000  0.500  0.500
Ag  0.500  0.500  0.000

(y)
## LiCa2Ag (PBE-GGA)

Data for a relaxed structure of LiCa2Ag.

Values from the calculation:
* crystal system: tetragonal
* spin magnetization: 0.00 Bohr magnetons per cell

Cell: 8.378 8.378 6.904 Å, 90.00 90.00 90.00°
Space group I-42d (No. 122)
One atom of each set of equivalent atoms:
Li  0.000  0.000  0.000
Ca  0.228  0.250  0.625
Ag  0.000  0.000  0.500

(z)
## LiCa2Ag (PBE-GGA)

Data for a relaxed structure of LiCa2Ag.

Values from the calculation:
* crystal system: tetragonal
* spin magnetization: 0.00 Bohr magnetons per cell

Cell: 3.761 3.761 17.535 Å, 90.00 90.00 90.00°
Space group I4/mmm (No. 139)
One atom of each set of equivalent atoms:
Li  0.000  0.000  0.000
Ca  0.000  0.000  0.332
Ag  0.000  0.000  0.500

Q: Which of them is the most stable? A: (w).